# Ca2PdRh, optimized geometry, DFT PBE-GGA
data_Ca2PdRh
_space_group_name_H-M_alt 'P 4/m m m'
_space_group_IT_number 123
_space_group_name_Hall '-P 4 2'
_cell_length_a 3.4976
_cell_length_b 3.4976
_cell_length_c 6.8307
_cell_angle_alpha 90.00
_cell_angle_beta 90.00
_cell_angle_gamma 90.00
loop_
_atom_site_label
_atom_site_fract_x
_atom_site_fract_y
_atom_site_fract_z
Ca1 0.0000 0.0000 0.2418
Pd1 0.5000 0.5000 0.5000
Rh1 0.5000 0.5000 0.0000
# E_form: -0.50 eV/atom
# size of the total moment: 0.00 μB/atom